Na2ReMoN4 | the Alexandria database | PBE | relaxed; magnetic moment = 0.00 μB/cell; space group = Pmn2_1, No. 31; uncorrected formation energy = -0.24 eV/atom
1.0
6.676 0.000 0.000
0.000 6.092 0.000
0.000 0.000 5.969
Na Re Mo N
4 2 2 8
direct
0.247 0.236 0.000
0.253 0.764 0.500
0.747 0.764 0.500
0.753 0.236 0.000
0.000 0.688 0.001
0.500 0.312 0.501
0.000 0.312 0.501
0.500 0.688 0.001
0.000 0.491 0.242
0.000 0.492 0.759
0.244 0.845 0.002
0.256 0.155 0.502
0.500 0.508 0.259
0.500 0.509 0.742
0.744 0.155 0.502
0.756 0.845 0.002